a:
Density functional theory data (PBE) for a geometry-optimized MnAsPb2 structure.

Summary:
- D(E_F): 2.30 states/eV per cell

Cell: 5.8645 5.8645 5.4858 Å, 69.60 69.60 33.50°
Last column: nearest neighbours and their distance in Å.
Fractional positions:
As1 0.5608 0.5608 0.4861  2 Mn 2.45
Mn1 0.2089 0.2089 0.2161  2 As 2.45
Pb1 0.9637 0.9637 0.0806  3 Mn 3.10-3.17, 2 As 3.28, 3 Pb 3.38-3.39
Pb2 0.7667 0.7667 0.7172  1 As 3.01, 2 Mn 3.08

b:
Density functional theory data (PBE) for a geometry-optimized MnAsPb2 structure.

Summary:
- D(E_F): 2.08 states/eV per cell

Cell: 9.7914 9.7914 9.7914 Å, 20.12 20.12 20.12°
Last column: nearest neighbours and their distance in Å.
Fractional positions:
As1 0.4767 0.4767 0.4767  3 Mn 2.39
Mn1 0.7631 0.7631 0.7631  3 As 2.39
Pb1 0.0172 0.0172 0.0172  3 Mn 3.02
Pb2 0.2429 0.2429 0.2429  9 Pb 3.42-3.67, 3 As 3.48

c:
Density functional theory data (PBE) for a geometry-optimized MnAsPb2 structure.

Summary:
- D(E_F): 3.75 states/eV per cell

Cell: 5.1969 5.1969 5.1969 Å, 60.00 60.00 60.00°
Last column: nearest neighbours and their distance in Å.
Fractional positions:
As1 0.5000 0.5000 0.5000  4 Mn 3.18, 4 Pb 3.18
Mn1 0.7500 0.7500 0.7500  4 As 3.18, 4 Pb 3.18
Pb1 0.0000 0.0000 0.0000  4 Pb 3.18, 4 Mn 3.18
Pb2 0.2500 0.2500 0.2500  4 As 3.18, 4 Pb 3.18

d:
Density functional theory data (PBE) for a geometry-optimized MnAsPb2 structure.

Summary:
- D(E_F): 3.37 states/eV per cell

Cell: 3.3431 3.3431 8.4915 Å, 90.00 90.00 90.00°
Last column: nearest neighbours and their distance in Å.
Fractional positions:
As1 0.0000 0.0000 0.5778  4 Mn 2.53
Mn1 0.5000 0.5000 0.6835  4 As 2.53
Pb1 0.0000 0.0000 0.9461  1 As 3.13, 4 Mn 3.25, 4 Pb 3.34
Pb2 0.5000 0.5000 0.2926  1 Mn 3.32, 4 Pb 3.34, 4 As 3.38

Stability check: which of them is most stable? d.

a:
Density functional theory data (PBE) for a geometry-optimized MnAs2Pb structure.

Summary:
- D(E_F): 2.16 states/eV per cell

Cell: 4.9469 4.9469 4.9469 Å, 60.00 60.00 60.00°
Last column: nearest neighbours and their distance in Å.
Fractional positions:
As1 0.0000 0.0000 0.0000  4 As 3.03, 4 Pb 3.03
As2 0.2500 0.2500 0.2500  4 Mn 3.03, 4 As 3.03
Mn1 0.5000 0.5000 0.5000  4 As 3.03, 4 Pb 3.03
Pb1 0.7500 0.7500 0.7500  4 As 3.03, 4 Mn 3.03

b:
Density functional theory data (PBE) for a geometry-optimized MnAs2Pb structure.

Summary:
- D(E_F): 8.14 states/eV per cell

Cell: 4.7519 4.7519 4.7519 Å, 60.00 60.00 60.00°
Last column: nearest neighbours and their distance in Å.
Fractional positions:
Pb1 0.5000 0.5000 0.5000  8 As 2.91
As1 0.2500 0.2500 0.2500  4 Mn 2.91, 4 Pb 2.91
As2 0.7500 0.7500 0.7500  4 Pb 2.91, 4 Mn 2.91
Mn1 0.0000 0.0000 0.0000  8 As 2.91

c:
Density functional theory data (PBE) for a geometry-optimized MnAs2Pb structure.

Summary:
- D(E_F): 1.68 states/eV per cell

Cell: 3.8223 4.2940 5.7659 Å, 70.27 90.00 90.00°
Last column: nearest neighbours and their distance in Å.
Fractional positions:
As1 0.0000 0.0117 0.0671  1 As 2.51, 2 Mn 2.56
As2 0.0000 0.4883 0.4329  1 As 2.51, 2 Mn 2.56
Mn1 0.5000 0.2500 0.2500  4 As 2.56
Pb1 0.5000 0.7500 0.7500  2 Mn 2.96, 4 As 3.11

d:
Density functional theory data (PBE) for a geometry-optimized MnAs2Pb structure.

Summary:
- D(E_F): 2.63 states/eV per cell

Cell: 3.2194 3.2200 7.7944 Å, 90.00 90.00 90.00°
Last column: nearest neighbours and their distance in Å.
Fractional positions:
As1 0.0000 0.0000 0.0763  4 Mn 2.65, 1 As 2.71
As2 0.0000 0.0000 0.4237  4 Mn 2.65, 1 As 2.71
Mn1 0.5000 0.5000 0.2500  8 As 2.65
Pb1 0.5000 0.5000 0.7500  4 Pb 3.22, 8 As 3.41

Stability check: which of them is most stable? d.

a:
Density functional theory data (PBE) for a geometry-optimized Mn3AsPd structure.

Summary:
- D(E_F): 4.14 states/eV per cell

Cell: 4.7928 4.7928 4.7928 Å, 90.00 90.00 90.00°
Last column: nearest neighbours and their distance in Å.
Fractional positions:
As1 0.5000 0.5000 0.5000  12 Mn 3.39
Mn1 0.0000 0.5000 0.0000  2 Pd 2.40
Mn2 0.0000 0.0000 0.5000  2 Pd 2.40
Mn3 0.5000 0.0000 0.0000  2 Pd 2.40
Pd1 0.0000 0.0000 0.0000  6 Mn 2.40

b:
Density functional theory data (PBE) for a geometry-optimized Mn3AsPd structure.

Summary:
- D(E_F): 11.82 states/eV per cell

Cell: 4.2796 4.2796 4.2796 Å, 90.00 90.00 90.00°
Last column: nearest neighbours and their distance in Å.
Fractional positions:
As1 0.0000 0.0000 0.0000  6 Mn 2.14
Mn1 0.0000 0.5000 0.0000  2 As 2.14
Mn2 0.0000 0.0000 0.5000  2 As 2.14
Mn3 0.5000 0.0000 0.0000  2 As 2.14
Pd1 0.5000 0.5000 0.5000  12 Mn 3.03

Stability check: which of them is most stable? a.

a:
Density functional theory data (PBE) for a geometry-optimized MnAs2Pd structure.

Summary:
- D(E_F): 5.15 states/eV per cell

Cell: 4.2634 4.2634 8.4522 Å, 75.39 75.39 90.00°
Last column: nearest neighbours and their distance in Å.
Fractional positions:
As1 0.6132 0.1250 0.2500  2 Mn 2.46, 2 Pd 2.51
As2 0.1368 0.6250 0.2500  2 Mn 2.46, 2 Pd 2.51
As3 0.3750 0.3868 0.7500  2 Mn 2.46, 2 Pd 2.51
As4 0.8750 0.8632 0.7500  2 Mn 2.46, 2 Pd 2.51
Mn1 0.5000 0.5000 0.0000  4 As 2.46
Mn2 0.2500 0.7500 0.5000  4 As 2.46
Pd1 0.0000 0.0000 0.0000  4 As 2.51
Pd2 0.7500 0.2500 0.5000  4 As 2.51

b:
Density functional theory data (PBE) for a geometry-optimized MnAs2Pd structure.

Summary:
- D(E_F): 2.41 states/eV per cell

Cell: 3.0278 3.0278 9.0569 Å, 80.38 80.38 60.00°
Last column: nearest neighbours and their distance in Å.
Fractional positions:
As1 0.0917 0.0917 0.7250  1 Mn 2.44, 3 Pd 2.66
As2 0.9083 0.9083 0.2750  1 Mn 2.44, 3 Pd 2.66
Mn1 0.0000 0.0000 0.0000  2 As 2.44
Pd1 0.5000 0.5000 0.5000  6 As 2.66

c:
Density functional theory data (PBE) for a geometry-optimized MnAs2Pd structure.

Summary:
- D(E_F): 1.64 states/eV per cell

Cell: 4.4929 4.4929 4.4929 Å, 60.00 60.00 60.00°
Last column: nearest neighbours and their distance in Å.
Fractional positions:
As1 0.2500 0.2500 0.2500  4 Pd 2.75, 4 Mn 2.75
As2 0.7500 0.7500 0.7500  4 Pd 2.75, 4 Mn 2.75
Mn1 0.0000 0.0000 0.0000  8 As 2.75
Pd1 0.5000 0.5000 0.5000  8 As 2.75

Stability check: which of them is most stable? a.

a:
Density functional theory data (PBE) for a geometry-optimized PmMnAs3 structure.

Summary:
- D(E_F): 9.95 states/eV per cell

Cell: 5.6014 5.7059 12.3693 Å, 90.00 90.00 90.00°
Last column: nearest neighbours and their distance in Å.
Fractional positions:
Pm1 0.7500 0.4958 0.6896  9 As 3.05-3.10
Pm2 0.2500 0.5042 0.3104  9 As 3.05-3.10
Pm3 0.7500 0.9958 0.3104  9 As 3.05-3.10
Pm4 0.2500 0.0042 0.6896  9 As 3.05-3.10
Mn1 0.5000 0.2500 0.0847  6 As 2.48-2.54
Mn2 0.0000 0.7500 0.9153  6 As 2.48-2.54
Mn3 0.5000 0.7500 0.9153  6 As 2.48-2.54
Mn4 0.0000 0.2500 0.0847  6 As 2.48-2.54
As1 0.0000 0.2500 0.4986  4 As 2.80-2.85, 4 Pm 3.08
As2 0.5000 0.7500 0.5014  4 As 2.80-2.85, 4 Pm 3.08
As3 0.0000 0.7500 0.5014  4 As 2.80-2.85, 4 Pm 3.08
As4 0.5000 0.2500 0.4986  4 As 2.80-2.85, 4 Pm 3.08
As5 0.2500 0.1084 0.9330  4 Mn 2.48-2.49
As6 0.7500 0.8916 0.0670  4 Mn 2.48-2.49
As7 0.2500 0.6084 0.0670  4 Mn 2.48-2.49
As8 0.7500 0.3916 0.9330  4 Mn 2.48-2.49
As9 0.2500 0.5047 0.7865  2 Mn 2.54
As10 0.7500 0.4953 0.2135  2 Mn 2.54
As11 0.2500 0.0047 0.2135  2 Mn 2.54
As12 0.7500 0.9953 0.7865  2 Mn 2.54

b:
Density functional theory data (PBE) for a geometry-optimized PmMnAs3 structure.

Summary:
- D(E_F): 2.38 states/eV per cell

Cell: 4.7729 4.7729 4.7729 Å, 90.00 90.00 90.00°
Last column: nearest neighbours and their distance in Å.
Fractional positions:
As1 0.0000 0.5000 0.0000  2 Mn 2.39
As2 0.0000 0.0000 0.5000  2 Mn 2.39
As3 0.5000 0.0000 0.0000  2 Mn 2.39
Mn1 0.0000 0.0000 0.0000  6 As 2.39
Pm1 0.5000 0.5000 0.5000  12 As 3.37

Stability check: which of them is most stable? a.

a:
Density functional theory data (PBE) for a geometry-optimized PrMnAs2 structure.

Summary:
- D(E_F): 2.65 states/eV per cell

Cell: 4.0269 4.0269 6.4663 Å, 71.86 71.86 60.00°
Last column: nearest neighbours and their distance in Å.
Fractional positions:
Pr1 0.5000 0.5000 0.5000  6 As 2.98
As1 0.2697 0.2697 0.1910  3 Mn 2.59
As2 0.7303 0.7303 0.8090  3 Mn 2.59
Mn1 0.0000 0.0000 0.0000  6 As 2.59

b:
Density functional theory data (PBE) for a geometry-optimized PrMnAs2 structure.

Summary:
- D(E_F): 3.39 states/eV per cell

Cell: 3.9142 3.9142 10.9033 Å, 100.34 100.34 90.00°
Last column: nearest neighbours and their distance in Å.
Fractional positions:
Pr1 0.1153 0.1153 0.2306  8 As 3.08-3.12, 4 Mn 3.45
Pr2 0.8847 0.8847 0.7694  8 As 3.08-3.12, 4 Mn 3.45
Mn1 0.2502 0.7502 0.5000  4 As 2.45
Mn2 0.7502 0.2502 0.5000  4 As 2.45
As1 0.3203 0.3203 0.6402  4 Mn 2.45
As2 0.6801 0.6801 0.3598  4 Mn 2.45
As3 0.9990 0.4998 0.0000  4 As 2.76-2.77
As4 0.4998 0.9990 0.0000  4 As 2.76-2.77

Stability check: which of them is most stable? b.

a:
Density functional theory data (PBE) for a geometry-optimized MnAsPtSe2 structure.

Summary:
- D(E_F): 3.38 states/eV per cell

Cell: 5.2286 5.2286 4.5887 Å, 90.00 90.00 90.00°
Last column: nearest neighbours and their distance in Å.
Fractional positions:
As1 0.0000 0.0000 0.5000  2 Pt 2.29
Mn1 0.5000 0.5000 0.5000  8 Se 3.48, 4 As 3.70
Se1 0.0000 0.5000 0.0000  2 Pt 2.61
Se2 0.5000 0.0000 0.0000  2 Pt 2.61
Pt1 0.0000 0.0000 0.0000  2 As 2.29

b:
Density functional theory data (PBE) for a geometry-optimized MnAsPtSe2 structure.

Summary:
- D(E_F): 3.65 states/eV per cell

Cell: 4.6652 4.6652 4.5666 Å, 90.00 90.00 90.00°
Last column: nearest neighbours and their distance in Å.
Fractional positions:
As1 0.0000 0.0000 0.5000  2 Mn 2.28
Mn1 0.0000 0.0000 0.0000  2 As 2.28, 4 Se 2.33
Se1 0.0000 0.5000 0.0000  2 Mn 2.33
Se2 0.5000 0.0000 0.0000  2 Mn 2.33
Pt1 0.5000 0.5000 0.5000  8 Se 3.26, 4 As 3.30

Stability check: which of them is most stable? a.

a:
Density functional theory data (PBE) for a geometry-optimized Sr2MnAsPt structure.

Summary:
- D(E_F): 4.81 states/eV per cell

Cell: 5.9509 4.6500 5.9509 Å, 90.00 90.00 90.00°
Last column: nearest neighbours and their distance in Å.
Fractional positions:
Sr1 0.0000 0.0000 0.5000  2 As 2.98
Sr2 0.5000 0.0000 0.0000  2 As 2.98
As1 0.0000 0.0000 0.0000  2 Pt 2.33
Mn1 0.5000 0.5000 0.5000  8 Sr 3.78, 4 Pt 4.21
Pt1 0.0000 0.5000 0.0000  2 As 2.33

b:
Density functional theory data (PBE) for a geometry-optimized Sr2MnAsPt structure.

Summary:
- D(E_F): 4.26 states/eV per cell

Cell: 5.7452 4.3841 5.7452 Å, 90.00 90.00 90.00°
Last column: nearest neighbours and their distance in Å.
Fractional positions:
Sr1 0.0000 0.0000 0.5000  2 Mn 2.87
Sr2 0.5000 0.0000 0.0000  2 Mn 2.87
As1 0.0000 0.5000 0.0000  2 Mn 2.19
Mn1 0.0000 0.0000 0.0000  2 As 2.19
Pt1 0.5000 0.5000 0.5000  8 Sr 3.61

Stability check: which of them is most stable? a.